An optimized crystal structure of MgTl2Hg. Source: Alexandria via LeMat-Bulk, functional PBE-GGA.

Properties
The value obtained for the total energy is -6.62 eV per formula unit. The symmetry is I-4m2 (119). The formation energy is 0.00 eV per atom.

```
data_MgTl2Hg
_chemical_formula_sum 'Mg1 Tl2 Hg1'
_space_group_name_H-M_alt 'P 1'
_space_group_IT_number 1
_cell_length_a 5.8197
_cell_length_b 5.8197
_cell_length_c 5.8197
_cell_angle_alpha 132.17
_cell_angle_beta 132.17
_cell_angle_gamma 69.97
loop_
_space_group_symop_operation_xyz
'x,y,z'
loop_
_atom_site_label
_atom_site_type_symbol
_atom_site_fract_x
_atom_site_fract_y
_atom_site_fract_z
Mg1 Mg 0.7500 0.2500 0.5000
Tl1 Tl 0.2500 0.7500 0.5000
Tl2 Tl 0.0000 0.0000 0.0000
Hg1 Hg 0.5000 0.5000 0.0000
```